one) VASP calculation (GGA-PBE) on Tb2ErPt after structural relaxation.

abc: 3.695 3.695 10.743
angles: 80.10 80.10 60.00
Element x y z (fractional)
Tb1 0.109 0.109 0.673
Tb2 0.891 0.891 0.327
Pt1 0.500 0.500 0.500
Er1 0.000 0.000 0.000

Results
calculated volume: 124.5 Å³ per cell
space group: R-3m, No. 166
size of the total moment: 0.00 μB per atom

***

two) VASP calculation (GGA-PBE) on Tb2ErPt after structural relaxation.

abc: 3.586 3.586 8.354
angles: 90.00 90.00 90.00
Element x y z (fractional)
Tb1 0.000 0.000 0.802
Tb2 0.000 0.000 0.198
Pt1 0.500 0.500 0.000
Er1 0.500 0.500 0.500

Results
calculated volume: 107.4 Å³ per cell
space group: P4/mmm, No. 123
size of the total moment: 0.00 μB per atom

***

three) VASP calculation (GGA-PBE) on Tb2ErPt after structural relaxation.

abc: 3.779 6.319 9.523
angles: 90.00 90.00 107.39
Element x y z (fractional)
Tb1 0.136 0.272 0.436
Tb2 0.864 0.728 0.564
Tb3 0.864 0.728 0.936
Tb4 0.136 0.272 0.064
Er1 0.426 0.853 0.250
Er2 0.574 0.147 0.750
Pt1 0.741 0.482 0.250
Pt2 0.259 0.518 0.750

Results
calculated volume: 217.0 Å³ per cell
space group: Cmcm, No. 63
size of the total moment: 0.00 μB per atom

***

List of relative energies, unit meV/atom: one) 397; two) 108; three) 0

***

one) VASP calculation (GGA-PBE) on Er4TlPt2 after structural relaxation.

abc: 4.736 7.285 10.170
angles: 90.00 90.00 90.00
Element x y z (fractional)
Tl1 0.000 0.000 0.500
Tl2 0.000 0.500 0.000
Pt1 0.500 0.000 0.766
Pt2 0.500 0.000 0.234
Pt3 0.500 0.500 0.733
Pt4 0.500 0.500 0.267
Er1 0.000 0.750 0.750
Er2 0.000 0.250 0.250
Er3 0.000 0.250 0.750
Er4 0.000 0.750 0.250
Er5 0.500 0.725 0.500
Er6 0.500 0.275 0.500
Er7 0.500 0.775 0.000
Er8 0.500 0.225 0.000

Results
calculated volume: 350.9 Å³ per cell
space group: Cmmm, No. 65
size of the total moment: 0.00 μB per atom

***

two) VASP calculation (GGA-PBE) on Er4TlPt2 after structural relaxation.

abc: 4.664 4.664 10.234
angles: 76.83 76.83 60.00
Element x y z (fractional)
Er1 0.389 0.389 0.834
Er2 0.201 0.201 0.397
Er3 0.799 0.799 0.603
Er4 0.611 0.611 0.166
Tl1 0.000 0.000 0.000
Pt1 0.101 0.101 0.696
Pt2 0.899 0.899 0.304

Results
calculated volume: 186.0 Å³ per cell
space group: R-3m, No. 166
size of the total moment: 0.00 μB per atom

***

List of relative energies, unit meV/atom: one) 0; two) 9

***

one) VASP calculation (GGA-PBE) on Er2Tm3Pt4 after structural relaxation.

abc: 7.409 7.591 7.655
angles: 90.00 90.00 110.03
Element x y z (fractional)
Er1 0.569 0.192 0.320
Er2 0.931 0.808 0.820
Er3 0.431 0.808 0.680
Er4 0.069 0.192 0.180
Tm1 0.000 0.500 0.500
Tm2 0.500 0.500 0.000
Tm3 0.745 0.244 0.833
Tm4 0.755 0.756 0.333
Tm5 0.255 0.756 0.167
Tm6 0.245 0.244 0.667
Pt1 0.847 0.085 0.535
Pt2 0.653 0.915 0.035
Pt3 0.153 0.915 0.465
Pt4 0.347 0.085 0.965
Pt5 0.866 0.486 0.137
Pt6 0.634 0.514 0.637
Pt7 0.134 0.514 0.863
Pt8 0.366 0.486 0.363

Results
calculated volume: 404.5 Å³ per cell
space group: P2_1/c, No. 14
size of the total moment: 0.00 μB per atom

***

two) VASP calculation (GGA-PBE) on Er2Tm3Pt4 after structural relaxation.

abc: 6.804 7.601 8.794
angles: 90.00 112.76 90.00
Element x y z (fractional)
Er1 0.092 0.602 0.184
Er2 0.908 0.398 0.816
Er3 0.408 0.102 0.816
Er4 0.592 0.898 0.184
Tm1 0.000 0.000 0.000
Tm2 0.500 0.500 0.000
Tm3 0.529 0.750 0.557
Tm4 0.971 0.250 0.443
Tm5 0.471 0.250 0.443
Tm6 0.029 0.750 0.557
Pt1 0.703 0.750 0.905
Pt2 0.797 0.250 0.095
Pt3 0.297 0.250 0.095
Pt4 0.203 0.750 0.905
Pt5 0.177 0.946 0.355
Pt6 0.823 0.054 0.645
Pt7 0.323 0.446 0.645
Pt8 0.677 0.554 0.355

Results
calculated volume: 419.4 Å³ per cell
space group: Cmce, No. 64
size of the total moment: 0.00 μB per atom

***

List of relative energies, unit meV/atom: one) 0; two) 171

***

one) VASP calculation (GGA-PBE) on ErTm3Pt2 after structural relaxation.

abc: 7.695 7.695 7.695
angles: 59.02 59.02 59.02
Element x y z (fractional)
Er1 0.500 0.500 0.500
Er2 0.000 0.000 0.000
Tm1 0.483 0.017 0.750
Tm2 0.017 0.750 0.483
Tm3 0.750 0.483 0.017
Tm4 0.517 0.983 0.250
Tm5 0.983 0.250 0.517
Tm6 0.250 0.517 0.983
Pt1 0.357 0.357 0.357
Pt2 0.143 0.143 0.143
Pt3 0.857 0.857 0.857
Pt4 0.643 0.643 0.643

Results
calculated volume: 315.0 Å³ per cell
space group: R-3c, No. 167
size of the total moment: 0.00 μB per atom

***

two) VASP calculation (GGA-PBE) on ErTm3Pt2 after structural relaxation.

abc: 4.721 7.067 8.680
angles: 90.00 90.00 90.00
Element x y z (fractional)
Er1 0.500 0.510 0.582
Er2 0.500 0.010 0.418
Tm1 0.000 0.490 0.917
Tm2 0.000 0.990 0.083
Tm3 0.500 0.644 0.170
Tm4 0.500 0.144 0.830
Tm5 0.000 0.356 0.329
Tm6 0.000 0.856 0.671
Pt1 0.500 0.742 0.845
Pt2 0.500 0.242 0.155
Pt3 0.000 0.258 0.655
Pt4 0.000 0.758 0.345

Results
calculated volume: 289.6 Å³ per cell
space group: Pmc2_1, No. 26
size of the total moment: 0.00 μB per atom

***

List of relative energies, unit meV/atom: one) 363; two) 0

***

one) VASP calculation (GGA-PBE) on Er2TmPt3 after structural relaxation.

abc: 4.035 5.704 6.971
angles: 114.15 106.82 90.00
Element x y z (fractional)
Er1 0.667 0.167 0.334
Er2 0.333 0.833 0.666
Tm1 0.000 0.500 0.000
Pt1 0.334 0.334 0.668
Pt2 0.000 0.000 0.000
Pt3 0.666 0.666 0.332

Results
calculated volume: 138.9 Å³ per cell
space group: Immm, No. 71
size of the total moment: 0.00 μB per atom

***

two) VASP calculation (GGA-PBE) on Er2TmPt3 after structural relaxation.

abc: 3.434 4.907 14.723
angles: 90.00 90.00 90.00
Element x y z (fractional)
Er1 0.000 0.000 0.667
Er2 0.000 0.000 0.333
Er3 0.000 0.500 0.167
Er4 0.000 0.500 0.833
Tm1 0.000 0.500 0.500
Tm2 0.000 0.000 0.000
Pt1 0.499 0.500 0.666
Pt2 0.501 0.000 0.500
Pt3 0.499 0.500 0.334
Pt4 0.501 0.000 0.166
Pt5 0.499 0.500 0.000
Pt6 0.501 0.000 0.834

Results
calculated volume: 248.1 Å³ per cell
space group: Cmmm, No. 65
size of the total moment: 0.00 μB per atom

***

List of relative energies, unit meV/atom: one) 127; two) 0

***

one) VASP calculation (GGA-PBE) on ErTmPt4 after structural relaxation.

abc: 5.791 5.793 4.147
angles: 69.05 69.08 91.54
Element x y z (fractional)
Er1 0.557 0.441 0.998
Tm1 0.944 0.054 0.498
Pt1 0.562 0.864 0.285
Pt2 0.366 0.055 0.786
Pt3 0.135 0.437 0.712
Pt4 0.943 0.632 0.210

Results
calculated volume: 119.4 Å³ per cell
space group: Imm2, No. 44
size of the total moment: 0.00 μB per atom

***

two) VASP calculation (GGA-PBE) on ErTmPt4 after structural relaxation.

abc: 5.412 5.412 5.412
angles: 60.00 60.00 60.00
Element x y z (fractional)
Tm1 0.000 0.000 0.000
Pt1 0.625 0.625 0.125
Pt2 0.625 0.125 0.625
Pt3 0.625 0.625 0.625
Pt4 0.125 0.625 0.625
Er1 0.250 0.250 0.250

Results
calculated volume: 112.1 Å³ per cell
space group: F-43m, No. 216
size of the total moment: 0.00 μB per atom

***

List of relative energies, unit meV/atom: one) 100; two) 0

***

one) VASP calculation (GGA-PBE) on YErPt2 after structural relaxation.

abc: 3.777 4.443 5.604
angles: 90.00 109.75 90.00
Element x y z (fractional)
Y1 0.722 0.000 0.983
Er1 0.445 0.500 0.428
Pt1 0.170 0.500 0.878
Pt2 0.995 0.000 0.529

Results
calculated volume: 88.5 Å³ per cell
space group: Amm2, No. 38
size of the total moment: 0.00 μB per atom

***

two) VASP calculation (GGA-PBE) on YErPt2 after structural relaxation.

abc: 3.447 4.950 4.950
angles: 90.00 90.00 90.00
Element x y z (fractional)
Y1 0.500 0.000 0.000
Pt1 0.000 0.000 0.500
Pt2 0.000 0.500 0.000
Er1 0.500 0.500 0.500

Results
calculated volume: 84.5 Å³ per cell
space group: P4/mmm, No. 123
size of the total moment: 0.00 μB per atom

***

List of relative energies, unit meV/atom: one) 0; two) 50

***

one) VASP calculation (GGA-PBE) on YErPt2 after structural relaxation.

abc: 4.015 4.015 7.227
angles: 73.87 73.87 60.00
Element x y z (fractional)
Y1 0.497 0.497 0.508
Er1 0.669 0.669 0.992
Pt1 0.083 0.083 0.751
Pt2 0.250 0.250 0.249

Results
calculated volume: 95.5 Å³ per cell
space group: R3m, No. 160
size of the total moment: 0.00 μB per atom

***

two) VASP calculation (GGA-PBE) on YErPt2 after structural relaxation.

abc: 4.929 4.929 4.929
angles: 60.00 60.00 60.00
Element x y z (fractional)
Y1 0.500 0.500 0.500
Pt1 0.250 0.250 0.250
Pt2 0.750 0.750 0.750
Er1 0.000 0.000 0.000

Results
calculated volume: 84.7 Å³ per cell
space group: Fm-3m, No. 225
size of the total moment: 0.00 μB per atom

***

List of relative energies, unit meV/atom: one) 142; two) 0

***

one) VASP calculation (GGA-PBE) on YErZnPt after structural relaxation.

abc: 4.969 4.969 4.969
angles: 60.00 60.00 60.00
Element x y z (fractional)
Y1 0.500 0.500 0.500
Zn1 0.250 0.250 0.250
Pt1 0.750 0.750 0.750
Er1 0.000 0.000 0.000

Results
calculated volume: 86.7 Å³ per cell
space group: F-43m, No. 216
size of the total moment: 0.00 μB per atom

***

two) VASP calculation (GGA-PBE) on YErZnPt after structural relaxation.

abc: 3.538 3.538 6.936
angles: 90.00 90.00 90.00
Element x y z (fractional)
Y1 0.500 0.500 0.101
Er1 0.500 0.500 0.615
Zn1 0.000 0.000 0.363
Pt1 0.000 0.000 0.848

Results
calculated volume: 86.8 Å³ per cell
space group: P4mm, No. 99
size of the total moment: 0.00 μB per atom

***

List of relative energies, unit meV/atom: one) 17; two) 0

***

one) VASP calculation (GGA-PBE) on ErZn4Pt after structural relaxation.

abc: 3.925 6.968 7.844
angles: 90.00 90.00 90.00
Element x y z (fractional)
Er1 0.000 0.616 0.750
Er2 0.000 0.384 0.250
Zn1 0.000 0.000 0.500
Zn2 0.000 0.000 0.000
Zn3 0.500 0.944 0.750
Zn4 0.500 0.056 0.250
Zn5 0.500 0.686 0.045
Zn6 0.500 0.314 0.955
Zn7 0.500 0.686 0.455
Zn8 0.500 0.314 0.545
Pt1 0.000 0.217 0.750
Pt2 0.000 0.783 0.250

Results
calculated volume: 214.5 Å³ per cell
space group: Pmma, No. 51
size of the total moment: 0.00 μB per atom

***

two) VASP calculation (GGA-PBE) on ErZn4Pt after structural relaxation.

abc: 5.166 5.166 5.166
angles: 60.00 60.00 60.00
Element x y z (fractional)
Zn1 0.626 0.626 0.123
Zn2 0.626 0.123 0.626
Zn3 0.626 0.626 0.626
Zn4 0.123 0.626 0.626
Pt1 0.000 0.000 0.000
Er1 0.250 0.250 0.250

Results
calculated volume: 97.5 Å³ per cell
space group: F-43m, No. 216
size of the total moment: 0.00 μB per atom

***

List of relative energies, unit meV/atom: one) 0; two) 61

***

one) VASP calculation (GGA-PBE) on ErZn2Pt2 after structural relaxation.

abc: 4.605 4.854 8.205
angles: 78.76 90.00 90.00
Element x y z (fractional)
Er1 0.250 0.699 0.227
Er2 0.750 0.301 0.773
Zn1 0.250 0.839 0.848
Zn2 0.750 0.161 0.152
Zn3 0.250 0.141 0.499
Zn4 0.750 0.859 0.501
Pt1 0.250 0.610 0.593
Pt2 0.750 0.390 0.407
Pt3 0.250 0.292 0.995
Pt4 0.750 0.708 0.005

Results
calculated volume: 179.9 Å³ per cell
space group: P2_1/m, No. 11
size of the total moment: 0.00 μB per atom

***

two) VASP calculation (GGA-PBE) on ErZn2Pt2 after structural relaxation.

abc: 3.766 3.766 6.944
angles: 105.73 105.73 90.00
Element x y z (fractional)
Er1 0.000 0.000 0.000
Zn1 0.750 0.250 0.500
Zn2 0.250 0.750 0.500
Pt1 0.606 0.606 0.212
Pt2 0.394 0.394 0.788

Results
calculated volume: 91.0 Å³ per cell
space group: I4/mmm, No. 139
size of the total moment: 0.00 μB per atom

***

List of relative energies, unit meV/atom: one) 41; two) 0